An optimized crystal structure of Sc2Ni7. Source: Alexandria via LeMat-Bulk, functional PBE.

Lattice parameters (Å, degrees): 4.7970 4.7970 23.7372 90.00 90.00 120.00
With the nearest neighbours (Å) after each atom.
Space group P6_3/mmc (No. 194)
One atom of each set of equivalent atoms:
Sc 0.3333 0.6667 0.0287  12 Ni 2.72-2.98
Sc 0.3333 0.6667 0.1744  12 Ni 2.78-3.00
Ni 0.0000 0.0000 0.0000  6 Ni 2.41
Ni 0.0000 0.0000 0.1662  6 Ni 2.42
Ni 0.1667 0.3333 0.7500  8 Ni 2.40-2.42
Ni 0.1680 0.3360 0.5829  7 Ni 2.38-2.42
Ni 0.3333 0.6667 0.6664  6 Ni 2.41-2.42

calculated formation energy	-0.39	eV per atom
ρ	7.03	g/cm3
total moment	4.837	μB per cell
crystal system	hexagonal


An optimized crystal structure of UCuNi4. Source: Alexandria via LeMat-Bulk, functional PBE.

Lattice parameters (Å, degrees): 6.8130 6.8130 6.8130 90.00 90.00 90.00
With the nearest neighbours (Å) after each atom.
Space group F-43m (No. 216)
One atom of each set of equivalent atoms:
U 0.0000 0.0000 0.0000  12 Ni 2.83, 4 Cu 2.95
Cu 0.2500 0.2500 0.2500  12 Ni 2.82, 4 U 2.95
Ni 0.1239 0.1239 0.6239  6 Ni 2.39-2.43

calculated formation energy	-0.23	eV per atom
ρ	11.27	g/cm3
total moment	1.052	μB per cell
crystal system	cubic